The following is a PBE calculation of crystalline SrLi2Tl at its relaxed geometry, from the Alexandria database.

Values from the calculation:
total energy	-8.4	eV for the cell shown
SG	P2/m (10)
crystal system	monoclinic
formation energy from the elements	-0.1242	eV/atom
D(E_F)	2.2	states/eV/cell

Unit cell a=3.710 b=5.138 c=6.078 alpha=90.00 beta=96.35 gamma=90.00
Fractional positions:
Sr  0.000  0.000  0.000
Li  0.315  0.500  0.690
Li  0.685  0.500  0.310
Tl  0.500  0.000  0.500